# ZnNi2P2O10

A geometry-optimized ZnNi2P2O10 structure (GGA+U, Alexandria via LeMat-Bulk).

```
data_ZnNi2P2O10
_chemical_formula_sum 'Zn8 Ni16 P16 O80'
_cell_length_a 6.9201
_cell_length_b 10.9150
_cell_length_c 16.6805
_cell_angle_alpha 90.00
_cell_angle_beta 90.00
_cell_angle_gamma 90.00
_symmetry_space_group_name_H-M 'F d d d'
_symmetry_Int_Tables_number 70
loop_
_symmetry_equiv_pos_as_xyz
'x,y,z'
'-x,-y,-z'
'-x+1/4,-y+1/4,z'
'x+1/4,y+1/4,-z'
'x,-y+1/4,-z+1/4'
'-x,y+1/4,z+1/4'
'-x+1/4,y,-z+1/4'
'x+1/4,-y,z+1/4'
'x,y+1/2,z+1/2'
'-x,-y+1/2,-z+1/2'
'-x+1/4,-y+3/4,z+1/2'
'x+1/4,y+3/4,-z+1/2'
'x,-y+3/4,-z+3/4'
'-x,y+3/4,z+3/4'
'-x+1/4,y+1/2,-z+3/4'
'x+1/4,-y+1/2,z+3/4'
'x+1/2,y,z+1/2'
'-x+1/2,-y,-z+1/2'
'-x+3/4,-y+1/4,z+1/2'
'x+3/4,y+1/4,-z+1/2'
'x+1/2,-y+1/4,-z+3/4'
'-x+1/2,y+1/4,z+3/4'
'-x+3/4,y,-z+3/4'
'x+3/4,-y,z+3/4'
'x+1/2,y+1/2,z'
'-x+1/2,-y+1/2,-z'
'-x+3/4,-y+3/4,z'
'x+3/4,y+3/4,-z'
'x+1/2,-y+3/4,-z+1/4'
'-x+1/2,y+3/4,z+1/4'
'-x+3/4,y+1/2,-z+1/4'
'x+3/4,-y+1/2,z+1/4'
loop_
_atom_site_label
_atom_site_type_symbol
_atom_site_fract_x
_atom_site_fract_y
_atom_site_fract_z
Zn1 Zn 0.1250 0.1250 0.1250
Ni1 Ni 0.0000 0.0000 0.5000
P1 P 0.1250 0.1250 0.3305
O1 O 0.0497 0.3642 0.5229
O2 O 0.0942 0.0107 0.8648
O3 O 0.1250 0.1250 0.5484
```

Results
calculated total energy = -5.716 eV per atom
size of the total moment = 3.71 μB per formula unit